## CaHoZnPb (GGA-PBE)

Data for a relaxed structure of CaHoZnPb.

Results
ρ	7.5	g/cm³
energy of formation from the pure elements	-0.355	eV per atom

Cell lengths 7.500, 7.500, 7.500 Å; angles 90.00, 90.00, 90.00 degrees
Positions (direct):
Ca (0.000, 0.000, 0.000)
Ca (0.000, 0.500, 0.500)
Ca (0.500, 0.000, 0.500)
Ca (0.500, 0.500, 0.000)
Ho (0.000, 0.000, 0.500)
Ho (0.000, 0.500, 0.000)
Ho (0.500, 0.000, 0.000)
Ho (0.500, 0.500, 0.500)
Zn (0.250, 0.250, 0.750)
Zn (0.250, 0.750, 0.250)
Zn (0.750, 0.250, 0.250)
Zn (0.750, 0.750, 0.750)
Pb (0.250, 0.250, 0.250)
Pb (0.250, 0.750, 0.750)
Pb (0.750, 0.250, 0.750)
Pb (0.750, 0.750, 0.250)